No. 1
VASP calculation (PBE) on crystalline CsZnReO2 at its relaxed geometry.

Its energy relative to the elements, uncorrected is 6.68 eV/f.u. The energy is -3.56 eV per atom.

The structure belongs to space group P4/mmm (No. 123); the cell edges are 4.143, 4.143 and 5.716 Å and the angles 90.00°, 90.00° and 90.00°. The asymmetric unit holds Cs at (0.000, 0.000, 0.000), Zn at (0.000, 0.000, 0.500), Re at (0.500, 0.500, 0.000) and O at (0.000, 0.500, 0.500).

No. 2
VASP calculation (PBE) on crystalline CsZrReO6 at its relaxed geometry.

Its energy relative to the elements, uncorrected is -19.75 eV/f.u. The energy is -7.93 eV per atom.

The structure belongs to space group P3 (No. 143); the cell edges are 5.4826, 5.4826 and 6.6397 Å and the angles 90.00°, 90.00° and 120.00°. The asymmetric unit holds Cs at (0.0000, 0.0000, 0.0000), Zr at (0.3333, 0.6667, 0.5250), Re at (0.6667, 0.3333, 0.4870), O at (0.4172, 0.3927, 0.3322) and O at (0.4183, 0.0322, 0.6699).

No. 3
VASP calculation (PBE) on crystalline Cs3RhO2 at its relaxed geometry.

Its energy relative to the elements, uncorrected is -3.46 eV/f.u. The energy is -3.88 eV per atom.

The structure belongs to space group Cmcm (No. 63); the cell edges are 9.708, 9.660 and 7.148 Å and the angles 90.00°, 90.00° and 90.00°. The asymmetric unit holds Cs at (0.000, 0.219, 0.250), Cs at (0.206, 0.500, 0.000), Rh at (0.000, 0.138, 0.750), O at (0.000, 0.000, 0.000) and O at (0.000, 0.340, 0.750).

No. 4
VASP calculation (PBE) on crystalline Cs5RhO5 at its relaxed geometry.

Its energy relative to the elements, uncorrected is -9.86 eV/f.u. The energy is -4.21 eV per atom.

The structure belongs to space group C2/m (No. 12); the cell edges are 12.635, 5.988 and 7.930 Å and the angles 90.00°, 106.94° and 90.00°. The asymmetric unit holds Cs at (0.000, 0.000, 0.000), Cs at (0.161, 0.500, 0.791), Cs at (0.172, 0.500, 0.333), Rh at (0.000, 0.000, 0.500), O at (0.000, 0.500, 0.500), O at (0.109, 0.000, 0.731) and O at (0.119, 0.000, 0.386).

No. 5
VASP calculation (PBE) on crystalline Cs2RhO3 at its relaxed geometry.

Its energy relative to the elements, uncorrected is -6.27 eV/f.u. The energy is -5.03 eV per atom.

The structure belongs to space group P-3m1 (No. 164); the cell edges are 6.8757, 6.8757 and 8.4426 Å and the angles 90.00°, 90.00° and 120.00°. The asymmetric unit holds Cs at (0.0000, 0.0000, 0.0000), Cs at (0.0000, 0.0000, 0.5000), Cs at (0.3333, 0.6667, 0.2508), Rh at (0.3333, 0.6667, 0.7499) and O at (0.1815, 0.3630, 0.7499).

No. 6
VASP calculation (PBE) on crystalline CsRhO2 at its relaxed geometry.

Its energy relative to the elements, uncorrected is -2.92 eV/f.u. The energy is -5.26 eV per atom.

The structure belongs to space group I-42d (No. 122); the cell edges are 5.668, 5.668 and 10.352 Å and the angles 90.00°, 90.00° and 90.00°. The asymmetric unit holds Cs at (0.000, 0.000, 0.000), Rh at (0.000, 0.000, 0.500) and O at (0.086, 0.250, 0.625).

No. 7
VASP calculation (PBE) on crystalline CsRhO3 at its relaxed geometry.

Its energy relative to the elements, uncorrected is -4.02 eV/f.u. The energy is -5.42 eV per atom.

The structure belongs to space group Pmmm (No. 47); the cell edges are 3.215, 3.805 and 6.350 Å and the angles 90.00°, 90.00° and 90.00°. The asymmetric unit holds Cs at (0.000, 0.000, 0.000), Rh at (0.000, 0.500, 0.500), O at (0.000, 0.000, 0.500) and O at (0.500, 0.500, 0.300).

No. 8
VASP calculation (PBE) on crystalline Cs4RhO4 at its relaxed geometry.

Its energy relative to the elements, uncorrected is -9.79 eV/f.u. The energy above the lowest structure with this stoichiometry is 0.00 kJ/mol of atoms. The energy is -4.49 eV per atom.

The structure belongs to space group P4_2/n (No. 86, origin choice 2); the cell edges are 8.866, 8.866 and 5.972 Å and the angles 90.00°, 90.00° and 90.00°. The asymmetric unit holds Cs at (0.045, 0.864, 0.250), Rh at (0.250, 0.250, 0.250) and O at (0.039, 0.186, 0.248).

No. 9
VASP calculation (PBE) on crystalline Cs3Rh2O4 at its relaxed geometry.

Its energy relative to the elements, uncorrected is -6.96 eV/f.u. The energy is -4.90 eV per atom.

The structure belongs to space group C2/m (No. 12); the cell edges are 13.589, 3.700 and 11.264 Å and the angles 90.00°, 112.39° and 90.00°. The asymmetric unit holds Cs at (0.000, 0.000, 0.000), Cs at (0.183, 0.500, 0.661), Rh at (0.071, 0.500, 0.311), O at (0.048, 0.000, 0.341) and O at (0.150, 0.500, 0.204).

No. 10
VASP calculation (PBE) on crystalline CsRhO3 at its relaxed geometry.

Its energy relative to the elements, uncorrected is -2.89 eV/f.u. The energy is -5.19 eV per atom.

The structure belongs to space group Pm-3m (No. 221); the cell edges are 4.124, 4.124 and 4.124 Å and the angles 90.00°, 90.00° and 90.00°. The asymmetric unit holds Cs at (0.000, 0.000, 0.000), Rh at (0.500, 0.500, 0.500) and O at (0.000, 0.500, 0.500).

No. 11
VASP calculation (PBE) on crystalline Cs4RhO4 at its relaxed geometry.

Its energy relative to the elements, uncorrected is -8.83 eV/f.u. The energy above the lowest structure with this stoichiometry is 10.38 kJ/mol of atoms. The energy is -4.38 eV per atom.

The structure belongs to space group I-42m (No. 121); the cell edges are 6.931, 6.931 and 12.722 Å and the angles 90.00°, 90.00° and 90.00°. The asymmetric unit holds Cs at (0.000, 0.000, 0.213), Cs at (0.000, 0.500, 0.000), Rh at (0.000, 0.000, 0.500) and O at (0.144, 0.144, 0.605).

No. 12
VASP calculation (PBE) on crystalline CsRhO3 at its relaxed geometry.

Its energy relative to the elements, uncorrected is -3.24 eV/f.u. The energy is -5.26 eV per atom.

The structure belongs to space group C2/c (No. 15); the cell edges are 13.073, 9.578 and 5.567 Å and the angles 90.00°, 90.19° and 90.00°. The asymmetric unit holds Cs at (0.000, 0.148, 0.250), Cs at (0.000, 0.351, 0.750), Rh at (0.250, 0.085, 0.934), O at (0.159, 0.029, 0.658), O at (0.159, 0.471, 0.341) and O at (0.250, 0.227, 0.202).

Copy entry 8 word for word.
VASP calculation (PBE) on crystalline Cs4RhO4 at its relaxed geometry.

Its energy relative to the elements, uncorrected is -9.79 eV/f.u. The energy above the lowest structure with this stoichiometry is 0.00 kJ/mol of atoms. The energy is -4.49 eV per atom.

The structure belongs to space group P4_2/n (No. 86, origin choice 2); the cell edges are 8.866, 8.866 and 5.972 Å and the angles 90.00°, 90.00° and 90.00°. The asymmetric unit holds Cs at (0.045, 0.864, 0.250), Rh at (0.250, 0.250, 0.250) and O at (0.039, 0.186, 0.248).

> Among the records above, which one has the lowest energy relative to the elements, uncorrected?

CsZrReO6

> Look up the energy of the second one.

-7.93 eV per atom